[1]
The following is a PBE calculation of a relaxed CsScBr3 crystal, from Alexandria via LeMat-Bulk.

Properties
The space group is P2_1/m. For the volume, the calculation gives 34.7 Å³ per atom. As for the relative energy among the computed polymorphs: 84 meV per atom. The density comes out at 4.0 g/cm³. The calculation puts the formation energy from raw total energies at -1592 meV per atom.

abc: 37.7973 5.4276 14.3051
angles: 90.00 166.32 90.00
Atoms (fractional coordinates):
Sc (0.0773, 0.2501, 0.6286)
Sc (0.5773, 0.2499, 0.1286)
Sc (0.4227, 0.7501, 0.8714)
Cs (0.4956, 0.2500, 0.3262)
Br (0.9048, 0.2499, 0.3416)
Sc (0.9227, 0.7499, 0.3714)
Br (0.7607, 0.2499, 0.4343)
Br (0.4048, 0.2501, 0.8416)
Br (0.8368, 0.2500, 0.8945)
Cs (0.0044, 0.7500, 0.1738)
Cs (0.5044, 0.7500, 0.6738)
Cs (0.9956, 0.2500, 0.8262)
Br (0.0952, 0.7501, 0.6584)
Br (0.1632, 0.7500, 0.1055)
Br (0.2607, 0.2501, 0.9343)
Br (0.7393, 0.7499, 0.0657)
Br (0.3368, 0.2500, 0.3945)
Br (0.6632, 0.7500, 0.6055)
Br (0.2393, 0.7501, 0.5657)
Br (0.5952, 0.7499, 0.1584)

[2]
The following is a PBE calculation of a relaxed CsSc2Br6 crystal, from Alexandria via LeMat-Bulk.

Properties
The space group is P-31m. For the volume, the calculation gives 39.1 Å³ per atom. The density comes out at 3.3 g/cm³. The calculation puts the formation energy from raw total energies at -1688 meV per atom.

abc: 6.9568 6.9568 8.3878
angles: 90.00 90.00 120.00
Each line ends with the local moment (μB).
Atoms (fractional coordinates):
Sc (0.6667, 0.3333, 0.5000)  0.40
Sc (0.3333, 0.6667, 0.5000)  0.40
Cs (0.0000, 0.0000, 0.0000)  0.00
Br (0.6338, 0.0000, 0.3116)  0.00
Br (0.6338, 0.6338, 0.6884)  0.00
Br (0.3662, 0.0000, 0.6884)  0.00
Br (0.0000, 0.6338, 0.3116)  0.00
Br (0.0000, 0.3662, 0.6884)  0.00
Br (0.3662, 0.3662, 0.3116)  0.00

[3]
The following is a PBE calculation of a relaxed CsScBr3 crystal, from Alexandria via LeMat-Bulk.

Properties
The space group is Pm-3m. For the volume, the calculation gives 32.5 Å³ per atom. As for the relative energy among the computed polymorphs: 85 meV per atom. The density comes out at 4.3 g/cm³. The calculation puts the formation energy from raw total energies at -1591 meV per atom.

abc: 5.4576 5.4576 5.4576
angles: 90.00 90.00 90.00
Each line ends with the local moment (μB).
Atoms (fractional coordinates):
Br (0.5000, 0.0000, 0.0000)  -0.01
Br (0.0000, 0.5000, 0.0000)  0.00
Cs (0.5000, 0.5000, 0.5000)  0.00
Sc (0.0000, 0.0000, 0.0000)  0.72
Br (0.0000, 0.0000, 0.5000)  0.00

[4]
The following is a PBE calculation of a relaxed CsScBr3 crystal, from Alexandria via LeMat-Bulk.

Properties
The space group is Pm-3m. For the volume, the calculation gives 52.7 Å³ per atom. As for the relative energy among the computed polymorphs: 1498 meV per atom. The density comes out at 2.6 g/cm³. The calculation puts the formation energy from raw total energies at -178 meV per atom.

abc: 6.4109 6.4109 6.4109
angles: 90.00 90.00 90.00
Each line ends with the local moment (μB).
Atoms (fractional coordinates):
Br (0.5000, 0.0000, 0.0000)  -0.02
Br (0.0000, 0.0000, 0.5000)  -0.14
Br (0.0000, 0.5000, 0.0000)  -0.06
Cs (0.0000, 0.0000, 0.0000)  -0.03
Sc (0.5000, 0.5000, 0.5000)  1.09

[5]
The following is a PBE calculation of a relaxed Cs2ScBr6 crystal, from Alexandria via LeMat-Bulk.

Properties
The space group is P6_3mc. For the volume, the calculation gives 37.8 Å³ per atom. The density comes out at 3.9 g/cm³. The calculation puts the formation energy from raw total energies at -1533 meV per atom.

abc: 7.8054 7.8054 12.8827
angles: 90.00 90.00 120.00
Each line ends with the local moment (μB).
Atoms (fractional coordinates):
Cs (0.6667, 0.3333, 0.3768)  0.00
Br (0.6576, 0.8288, 0.3686)  0.11
Cs (0.0000, 0.0000, 0.6199)  0.00
Br (0.5070, 0.0140, 0.6319)  0.09
Br (0.3424, 0.1712, 0.8686)  0.11
Br (0.1712, 0.3424, 0.3686)  0.11
Br (0.5070, 0.4930, 0.6319)  0.09
Br (0.4930, 0.5070, 0.1319)  0.09
Br (0.4930, 0.9860, 0.1319)  0.09
Cs (0.0000, 0.0000, 0.1199)  0.00
Br (0.0140, 0.5070, 0.1319)  0.09
Br (0.8288, 0.6576, 0.8686)  0.11
Br (0.8288, 0.1712, 0.8686)  0.11
Sc (0.6667, 0.3333, 0.7516)  -0.01
Br (0.9860, 0.4930, 0.6319)  0.09
Br (0.1712, 0.8288, 0.3686)  0.11
Cs (0.3333, 0.6667, 0.8768)  0.00
Sc (0.3333, 0.6667, 0.2516)  -0.01

[6]
The following is a PBE calculation of a relaxed CsScBr3 crystal, from Alexandria via LeMat-Bulk.

Properties
The space group is R-3c. For the volume, the calculation gives 49.8 Å³ per atom. As for the relative energy among the computed polymorphs: 237 meV per atom. The density comes out at 2.8 g/cm³. The calculation puts the formation energy from raw total energies at -1439 meV per atom.

abc: 8.8680 8.8680 8.8680
angles: 60.41 60.41 60.41
Each line ends with the local moment (μB).
Atoms (fractional coordinates):
Cs (0.0000, 0.0000, 0.0000)  0.00
Br (0.4646, 0.7500, 0.0354)  -0.01
Br (0.0354, 0.4646, 0.7500)  -0.01
Br (0.9646, 0.5354, 0.2500)  -0.01
Br (0.7500, 0.0354, 0.4646)  -0.01
Sc (0.7500, 0.7500, 0.7500)  0.63
Cs (0.5000, 0.5000, 0.5000)  0.00
Br (0.2500, 0.9646, 0.5354)  -0.01
Br (0.5354, 0.2500, 0.9646)  -0.01
Sc (0.2500, 0.2500, 0.2500)  0.63

[7]
The following is a PBE calculation of a relaxed CsScBr3 crystal, from Alexandria via LeMat-Bulk.

Properties
The space group is C2/c. For the volume, the calculation gives 36.5 Å³ per atom. As for the relative energy among the computed polymorphs: 173 meV per atom. The density comes out at 3.8 g/cm³. The calculation puts the formation energy from raw total energies at -1503 meV per atom.

abc: 14.9024 9.8284 9.8284
angles: 102.77 131.87 48.13
Each line ends with the local moment (μB).
Atoms (fractional coordinates):
Br (0.4262, 0.2420, 0.3952)  0.00
Br (0.0738, 0.8952, 0.7420)  0.00
Sc (0.8502, 0.9764, 0.3472)  0.59
Br (0.8999, 0.7800, 0.8294)  0.00
Br (0.1001, 0.2200, 0.1706)  0.00
Cs (0.7500, 0.2541, 0.7541)  0.00
Br (0.4076, 0.9271, 0.0812)  0.00
Br (0.3999, 0.6706, 0.7200)  0.00
Br (0.5738, 0.7580, 0.6048)  0.00
Br (0.0924, 0.5812, 0.4271)  0.00
Sc (0.6498, 0.8472, 0.4764)  0.60
Br (0.5924, 0.0729, 0.9188)  0.00
Cs (0.2500, 0.3848, 0.8848)  0.01
Br (0.9076, 0.4188, 0.5729)  0.00
Cs (0.7500, 0.6152, 0.1152)  0.01
Br (0.9262, 0.1048, 0.2580)  0.00
Sc (0.3502, 0.1528, 0.5236)  0.60
Sc (0.1498, 0.0236, 0.6528)  0.59
Cs (0.2500, 0.7459, 0.2459)  0.00
Br (0.6001, 0.3294, 0.2800)  0.00

[8]
The following is a PBE calculation of a relaxed Cs3ScBr crystal, from Alexandria via LeMat-Bulk.

Properties
The space group is Pm-3m. For the volume, the calculation gives 79.2 Å³ per atom. The density comes out at 2.2 g/cm³. The calculation puts the formation energy from raw total energies at 213 meV per atom.

abc: 7.3420 7.3420 7.3420
angles: 90.00 90.00 90.00
Each line ends with the local moment (μB).
Atoms (fractional coordinates):
Sc (0.0000, 0.0000, 0.0000)  1.14
Br (0.5000, 0.5000, 0.5000)  0.01
Cs (0.0000, 0.5000, 0.0000)  0.04
Cs (0.5000, 0.0000, 0.0000)  0.04
Cs (0.0000, 0.0000, 0.5000)  0.04

[9]
The following is a PBE calculation of a relaxed CsScBr3 crystal, from Alexandria via LeMat-Bulk.

Properties
The space group is C2/c. For the volume, the calculation gives 37.2 Å³ per atom. As for the relative energy among the computed polymorphs: 134 meV per atom. The density comes out at 3.7 g/cm³. The calculation puts the formation energy from raw total energies at -1542 meV per atom.

abc: 17.1529 10.2945 10.2945
angles: 98.89 133.75 46.25
Each line ends with the local moment (μB).
Atoms (fractional coordinates):
Cs (0.2488, 0.9237, 0.7923)  0.00
Cs (0.7512, 0.0763, 0.2077)  0.00
Br (0.9972, 0.0274, 0.2329)  -0.01
Br (0.5028, 0.7329, 0.5274)  -0.01
Br (0.7514, 0.7482, 0.0083)  0.00
Br (0.2486, 0.2518, 0.9917)  0.00
Br (0.7486, 0.5083, 0.2482)  0.00
Sc (0.2500, 0.7499, 0.2499)  0.47
Cs (0.2512, 0.2923, 0.4237)  0.00
Sc (0.2500, 0.5169, 0.0169)  0.49
Br (0.4972, 0.2671, 0.4726)  -0.01
Br (0.0028, 0.9726, 0.7671)  -0.01
Br (0.9937, 0.2405, 0.0139)  -0.01
Sc (0.7500, 0.4831, 0.9831)  0.49
Br (0.2514, 0.4917, 0.7518)  0.00
Sc (0.7500, 0.2501, 0.7501)  0.47
Br (0.4937, 0.4861, 0.2595)  -0.01
Br (0.5063, 0.5139, 0.7405)  -0.01
Cs (0.7488, 0.7077, 0.5763)  0.00
Br (0.0063, 0.7595, 0.9861)  -0.01

[10]
The following is a PBE calculation of a relaxed CsScBr3 crystal, from Alexandria via LeMat-Bulk.

Properties
The space group is P6_3/mmc. For the volume, the calculation gives 31.2 Å³ per atom. As for the relative energy among the computed polymorphs: 418 meV per atom. The density comes out at 4.4 g/cm³. The calculation puts the formation energy from raw total energies at -1259 meV per atom.

abc: 5.6560 5.6560 11.2707
angles: 90.00 90.00 120.00
Each line ends with the local moment (μB).
Atoms (fractional coordinates):
Br (0.0000, 0.0000, 0.2500)  -0.02
Br (0.3333, 0.6667, 0.4406)  -0.01
Cs (0.3333, 0.6667, 0.7500)  0.01
Br (0.6667, 0.3333, 0.9406)  -0.01
Br (0.0000, 0.0000, 0.7500)  -0.02
Sc (0.0000, 0.0000, 0.0000)  0.77
Sc (0.0000, 0.0000, 0.5000)  0.78
Br (0.6667, 0.3333, 0.5594)  -0.01
Cs (0.6667, 0.3333, 0.2500)  0.01
Br (0.3333, 0.6667, 0.0594)  -0.01

[11]
The following is a PBE calculation of a relaxed Cs3ScBr6 crystal, from Alexandria via LeMat-Bulk.

Properties
The space group is Fm-3m. For the volume, the calculation gives 44.7 Å³ per atom. The density comes out at 3.4 g/cm³. The calculation puts the formation energy from raw total energies at -1766 meV per atom.

abc: 8.5828 8.5810 8.5810
angles: 59.99 59.99 59.99
Atoms (fractional coordinates):
Br (0.7807, 0.2194, 0.7806)
Br (0.2193, 0.2194, 0.7806)
Br (0.7806, 0.2194, 0.2194)
Br (0.2193, 0.7806, 0.2194)
Br (0.2194, 0.7806, 0.7806)
Cs (0.5000, 0.5000, 0.5000)
Br (0.7807, 0.7806, 0.2194)
Sc (0.0000, 0.0000, 0.0000)
Cs (0.7500, 0.7500, 0.7500)
Cs (0.2500, 0.2500, 0.2500)

[12]
The following is a PBE calculation of a relaxed CsScBr3 crystal, from Alexandria via LeMat-Bulk.

Properties
The space group is P6_3/mmc. For the volume, the calculation gives 34.7 Å³ per atom. As for the relative energy among the computed polymorphs: 0 meV per atom. The density comes out at 4.0 g/cm³. The calculation puts the formation energy from raw total energies at -1676 meV per atom.

abc: 8.0012 8.0012 6.2631
angles: 90.00 90.00 120.00
Each line ends with the local moment (μB).
Atoms (fractional coordinates):
Br (0.1639, 0.8361, 0.2500)  0.00
Br (0.8361, 0.1639, 0.7500)  0.00
Sc (0.0000, 0.0000, 0.5000)  0.24
Br (0.6722, 0.8361, 0.2500)  0.00
Cs (0.6667, 0.3333, 0.2500)  0.00
Sc (0.0000, 0.0000, 0.0000)  0.24
Cs (0.3333, 0.6667, 0.7500)  0.00
Br (0.8361, 0.6722, 0.7500)  0.00
Br (0.1639, 0.3278, 0.2500)  0.00
Br (0.3278, 0.1639, 0.7500)  0.00

Q: Among the records above, which one has the lowest formation energy from raw total energies?
A: Cs3ScBr6

Q: The lowest volume belongs to which entry?
A: number 10

Q: The highest formation energy from raw total energies belongs to which entry?
A: Cs3ScBr